P) This record from Alexandria via LeMat-Bulk describes a geometry-optimized Ho2TmOs structure. The functional is PBE.

Unit cell a=3.376 b=3.376 c=9.181 alpha=90.00 beta=90.00 gamma=90.00
Fractional positions:
Ho  0.000  0.000  0.181
Ho  0.000  0.000  0.819
Tm  0.500  0.500  0.500
Os  0.500  0.500  0.000



Q) This record from Alexandria via LeMat-Bulk describes a geometry-optimized Ho2TmOs structure. The functional is PBE.

Unit cell a=7.354 b=8.988 c=6.270 alpha=90.00 beta=90.00 gamma=90.00
Fractional positions:
Ho  0.175  0.062  0.168
Ho  0.175  0.438  0.168
Ho  0.325  0.562  0.668
Ho  0.325  0.938  0.668
Ho  0.675  0.062  0.332
Ho  0.675  0.438  0.332
Ho  0.825  0.562  0.832
Ho  0.825  0.938  0.832
Tm  0.039  0.250  0.629
Tm  0.461  0.750  0.129
Tm  0.539  0.250  0.871
Tm  0.961  0.750  0.371
Os  0.117  0.750  0.964
Os  0.383  0.250  0.464
Os  0.617  0.750  0.536
Os  0.883  0.250  0.036



R) This record from Alexandria via LeMat-Bulk describes a geometry-optimized Ho2TmOs structure. The functional is PBE.

Unit cell a=6.177 b=6.177 c=8.917 alpha=90.00 beta=90.00 gamma=142.48
Fractional positions:
Ho  0.144  0.856  0.565
Ho  0.144  0.856  0.935
Ho  0.856  0.144  0.065
Ho  0.856  0.144  0.435
Tm  0.425  0.575  0.750
Tm  0.575  0.425  0.250
Os  0.241  0.759  0.250
Os  0.759  0.241  0.750



The calculated energies rank the structures as follows, beginning with the most stable: Q), R), P).



P) This record from Alexandria via LeMat-Bulk describes a geometry-optimized HoTmOs structure. The functional is PBE.

Unit cell a=6.908 b=6.908 c=6.908 alpha=151.78 beta=151.78 gamma=40.34
Fractional positions:
Ho  0.000  0.000  0.000
Tm  0.748  0.748  0.000
Os  0.372  0.372  0.000



Q) This record from Alexandria via LeMat-Bulk describes a geometry-optimized HoTmOs structure. The functional is PBE.

Unit cell a=4.738 b=4.738 c=4.738 alpha=60.00 beta=60.00 gamma=60.00
Fractional positions:
Ho  0.000  0.000  0.000
Tm  0.500  0.500  0.500
Os  0.250  0.250  0.250



The calculated energies rank the structures as follows, beginning with the most stable: P), Q).



P) This record from Alexandria via LeMat-Bulk describes a geometry-optimized HoTmOs structure. The functional is PBE.

Unit cell a=5.378 b=5.378 c=7.938 alpha=90.00 beta=90.00 gamma=120.00
Fractional positions:
Ho  0.177  0.354  0.333
Ho  0.177  0.823  0.667
Ho  0.646  0.823  0.000
Tm  0.364  0.182  0.000
Tm  0.818  0.182  0.667
Tm  0.818  0.636  0.333
Os  0.004  0.502  0.000
Os  0.498  0.502  0.667
Os  0.498  0.996  0.333



Q) This record from Alexandria via LeMat-Bulk describes a geometry-optimized HoTmOs structure. The functional is PBE.

Unit cell a=8.106 b=8.106 c=5.092 alpha=90.00 beta=90.00 gamma=155.38
Fractional positions:
Ho  0.072  0.928  0.750
Ho  0.928  0.072  0.250
Tm  0.210  0.790  0.250
Tm  0.790  0.210  0.750
Os  0.425  0.575  0.750
Os  0.575  0.425  0.250



The calculated energies rank the structures as follows, beginning with the most stable: Q), P).



P) This record from Alexandria via LeMat-Bulk describes a geometry-optimized HoTm2Os structure. The functional is PBE.

Unit cell a=6.185 b=6.185 c=8.865 alpha=90.00 beta=90.00 gamma=142.69
Fractional positions:
Ho  0.073  0.927  0.750
Ho  0.927  0.073  0.250
Tm  0.355  0.645  0.565
Tm  0.355  0.645  0.935
Tm  0.645  0.355  0.065
Tm  0.645  0.355  0.435
Os  0.258  0.742  0.250
Os  0.742  0.258  0.750



Q) This record from Alexandria via LeMat-Bulk describes a geometry-optimized HoTm2Os structure. The functional is PBE.

Unit cell a=10.961 b=10.961 c=10.961 alpha=17.73 beta=17.73 gamma=17.73
Fractional positions:
Ho  0.000  0.000  0.000
Tm  0.105  0.105  0.105
Tm  0.895  0.895  0.895
Os  0.500  0.500  0.500



R) This record from Alexandria via LeMat-Bulk describes a geometry-optimized HoTm2Os structure. The functional is PBE.

Unit cell a=3.364 b=3.364 c=9.043 alpha=90.00 beta=90.00 gamma=90.00
Fractional positions:
Ho  0.000  0.000  0.000
Tm  0.500  0.500  0.319
Tm  0.500  0.500  0.681
Os  0.000  0.000  0.500



The calculated energies rank the structures as follows, beginning with the most stable: P), R), Q).